Density functional theory data (GGA-PBE) for a relaxed TiMnNbMo crystal.

Cell lengths 6.243, 6.243, 6.243 Å; angles 90.00, 90.00, 90.00 degrees
Space group F-43m (No. 216)
Symmetry-distinct sites (fractional):
Ti1 0.000 0.000 0.000 x4
Mn1 0.250 0.250 0.250 x4
Nb1 0.000 0.000 0.500 x4
Mo1 0.250 0.250 0.750 x4

The total DFT energy (no corrections) comes out at -9.6055 eV per atom.